# Ho2Er7Mg2

An optimized crystal structure of Ho2Er7Mg2 (PBE, the Alexandria database).

Energy above the lowest structure with this stoichiometry = 0 meV per atom
Volume = 323.3 Å³/cell
Formation enthalpy at 0 K = 3 kJ per mole of atoms
Total moment = 0.00 μB/atom
Total energy = -3.993 eV per atom

```
data_Ho2Er7Mg2
_chemical_formula_sum 'Ho2 Er7 Mg2'
_cell_length_a 5.984
_cell_length_b 6.017
_cell_length_c 9.158
_cell_angle_alpha 89.91
_cell_angle_beta 83.95
_cell_angle_gamma 80.45
_symmetry_space_group_name_H-M 'P -1'
_symmetry_Int_Tables_number 2
_symmetry_space_group_name_Hall '-P 1'
loop_
_atom_site_label
_atom_site_fract_x
_atom_site_fract_y
_atom_site_fract_z
Ho1 0.221 0.044 0.094
Er1 0.046 0.413 0.818
Er2 0.139 0.225 0.455
Er3 0.321 0.862 0.727
Er4 0.500 0.500 0.000
Mg1 0.406 0.678 0.368
```



# Ho2ErMg7

An optimized crystal structure of Ho2ErMg7 (PBE, the Alexandria database).

Volume = 550.2 Å³/cell
Formation enthalpy at 0 K = 22 kJ per mole of atoms
Total moment = 0.06 μB/atom
Total energy = -2.256 eV per atom

```
data_Ho2ErMg7
_chemical_formula_sum 'Ho4 Er2 Mg14'
_cell_length_a 7.538
_cell_length_b 21.821
_cell_length_c 3.345
_cell_angle_alpha 90.00
_cell_angle_beta 90.00
_cell_angle_gamma 90.00
_symmetry_space_group_name_H-M 'C m m m'
_symmetry_Int_Tables_number 65
_symmetry_space_group_name_Hall '-C 2 2'
loop_
_atom_site_label
_atom_site_fract_x
_atom_site_fract_y
_atom_site_fract_z
Ho1 0.000 0.240 0.000
Er1 0.000 0.500 0.500
Mg1 0.000 0.000 0.000
Mg2 0.000 0.112 0.500
Mg3 0.189 0.379 0.000
```



# Ho4Er2Mg

An optimized crystal structure of Ho4Er2Mg (PBE, the Alexandria database).

Energy above the lowest structure with this stoichiometry = 32 meV per atom
Volume = 220.0 Å³/cell
Formation enthalpy at 0 K = 14 kJ per mole of atoms
Total moment = 0.00 μB/atom
Total energy = -4.006 eV per atom

```
data_Ho4Er2Mg
_chemical_formula_sum 'Ho4 Er2 Mg1'
_cell_length_a 5.863
_cell_length_b 3.580
_cell_length_c 10.618
_cell_angle_alpha 90.00
_cell_angle_beta 99.12
_cell_angle_gamma 90.00
_symmetry_space_group_name_H-M 'P 1 2/m 1'
_symmetry_Int_Tables_number 10
_symmetry_space_group_name_Hall '-P 2y'
loop_
_atom_site_label
_atom_site_fract_x
_atom_site_fract_y
_atom_site_fract_z
Ho1 0.059 0.000 0.201
Ho2 0.423 0.500 0.751
Er1 0.000 0.500 0.500
Er2 0.500 0.000 0.500
Mg1 0.500 0.000 0.000
```



# Ho3Er4Mg

An optimized crystal structure of Ho3Er4Mg (PBE, the Alexandria database).

Energy above the lowest structure with this stoichiometry = 0 meV per atom
Volume = 499.7 Å³/cell
Formation enthalpy at 0 K = 18 kJ per mole of atoms
Total moment = 0.00 μB/atom
Total energy = -4.010 eV per atom

```
data_Ho3Er4Mg
_chemical_formula_sum 'Ho6 Er8 Mg2'
_cell_length_a 26.795
_cell_length_b 3.526
_cell_length_c 5.293
_cell_angle_alpha 90.00
_cell_angle_beta 92.29
_cell_angle_gamma 90.00
_symmetry_space_group_name_H-M 'C 1 2/m 1'
_symmetry_Int_Tables_number 12
_symmetry_space_group_name_Hall '-C 2y'
loop_
_atom_site_label
_atom_site_fract_x
_atom_site_fract_y
_atom_site_fract_z
Ho1 0.000 0.000 0.000
Ho2 0.150 0.000 0.721
Er1 0.098 0.500 0.204
Er2 0.219 0.500 0.244
Mg1 0.000 0.500 0.500
```



# Ho6Er4Mg

An optimized crystal structure of Ho6Er4Mg (PBE, the Alexandria database).

Volume = 698.8 Å³/cell
Formation enthalpy at 0 K = 27 kJ per mole of atoms
Total moment = 0.00 μB/atom
Total energy = -4.018 eV per atom

```
data_Ho6Er4Mg
_chemical_formula_sum 'Ho12 Er8 Mg2'
_cell_length_a 6.433
_cell_length_b 6.433
_cell_length_c 16.884
_cell_angle_alpha 90.00
_cell_angle_beta 90.00
_cell_angle_gamma 90.00
_symmetry_space_group_name_H-M 'I -4 2 m'
_symmetry_Int_Tables_number 121
_symmetry_space_group_name_Hall 'I -4 2'
loop_
_atom_site_label
_atom_site_fract_x
_atom_site_fract_y
_atom_site_fract_z
Ho1 0.000 0.500 0.000
Ho2 0.183 0.183 0.170
Er1 0.176 0.176 0.366
Mg1 0.000 0.000 0.000
```



# HoErMg4

An optimized crystal structure of HoErMg4 (PBE, the Alexandria database).

Energy above the lowest structure with this stoichiometry = 0 meV per atom
Volume = 614.4 Å³/cell
Formation enthalpy at 0 K = -6 kJ per mole of atoms
Total moment = 0.00 μB/atom
Total energy = -2.646 eV per atom

```
data_HoErMg4
_chemical_formula_sum 'Ho4 Er4 Mg16'
_cell_length_a 8.501
_cell_length_b 8.501
_cell_length_c 8.501
_cell_angle_alpha 90.00
_cell_angle_beta 90.00
_cell_angle_gamma 90.00
_symmetry_space_group_name_H-M 'F -4 3 m'
_symmetry_Int_Tables_number 216
_symmetry_space_group_name_Hall 'F -4 2 3'
loop_
_atom_site_label
_atom_site_fract_x
_atom_site_fract_y
_atom_site_fract_z
Ho1 0.000 0.000 0.000
Er1 0.250 0.250 0.250
Mg1 0.125 0.125 0.625
```



# Ho2ErMg5

An optimized crystal structure of Ho2ErMg5 (PBE, the Alexandria database).

Volume = 412.4 Å³/cell
Formation enthalpy at 0 K = -6 kJ per mole of atoms
Total moment = 0.00 μB/atom
Total energy = -2.771 eV per atom

```
data_Ho2ErMg5
_chemical_formula_sum 'Ho4 Er2 Mg10'
_cell_length_a 5.235
_cell_length_b 5.235
_cell_length_c 15.047
_cell_angle_alpha 90.00
_cell_angle_beta 90.00
_cell_angle_gamma 90.00
_symmetry_space_group_name_H-M 'I 4/m m m'
_symmetry_Int_Tables_number 139
_symmetry_space_group_name_Hall '-I 4 2'
loop_
_atom_site_label
_atom_site_fract_x
_atom_site_fract_y
_atom_site_fract_z
Ho1 0.000 0.000 0.245
Er1 0.000 0.000 0.500
Mg1 0.000 0.000 0.000
Mg2 0.000 0.500 0.120
```



# Ho3ErMg

An optimized crystal structure of Ho3ErMg (PBE, the Alexandria database).

Energy above the lowest structure with this stoichiometry = 35 meV per atom
Volume = 1187.8 Å³/cell
Formation enthalpy at 0 K = 4 kJ per mole of atoms
Total moment = 0.00 μB/atom
Total energy = -3.938 eV per atom

```
data_Ho3ErMg
_chemical_formula_sum 'Ho24 Er8 Mg8'
_cell_length_a 14.917
_cell_length_b 12.759
_cell_length_c 6.440
_cell_angle_alpha 90.00
_cell_angle_beta 104.30
_cell_angle_gamma 90.00
_symmetry_space_group_name_H-M 'C 1 2/c 1'
_symmetry_Int_Tables_number 15
_symmetry_space_group_name_Hall '-C 2yc'
loop_
_atom_site_label
_atom_site_fract_x
_atom_site_fract_y
_atom_site_fract_z
Ho1 0.096 0.191 0.459
Ho2 0.194 0.315 0.141
Ho3 0.206 0.425 0.649
Er1 0.101 0.075 0.947
Mg1 0.000 0.331 0.750
Mg2 0.000 0.427 0.250
```



# Ho2Er7Mg2

An optimized crystal structure of Ho2Er7Mg2 (PBE, the Alexandria database).

Energy above the lowest structure with this stoichiometry = 144 meV per atom
Volume = 670.4 Å³/cell
Formation enthalpy at 0 K = 17 kJ per mole of atoms
Total moment = 0.00 μB/atom
Total energy = -3.849 eV per atom

```
data_Ho2Er7Mg2
_chemical_formula_sum 'Ho4 Er14 Mg4'
_cell_length_a 11.726
_cell_length_b 11.037
_cell_length_c 5.586
_cell_angle_alpha 90.00
_cell_angle_beta 111.99
_cell_angle_gamma 90.00
_symmetry_space_group_name_H-M 'C 1 2/m 1'
_symmetry_Int_Tables_number 12
_symmetry_space_group_name_Hall '-C 2y'
loop_
_atom_site_label
_atom_site_fract_x
_atom_site_fract_y
_atom_site_fract_z
Ho1 0.000 0.221 0.000
Er1 0.000 0.000 0.500
Er2 0.190 0.207 0.684
Er3 0.220 0.000 0.168
Mg1 0.061 0.500 0.286
```



# HoEr14Mg

An optimized crystal structure of HoEr14Mg (PBE, the Alexandria database).

Volume = 481.4 Å³/cell
Formation enthalpy at 0 K = 2 kJ per mole of atoms
Total moment = 0.00 μB/atom
Total energy = -4.352 eV per atom

```
data_HoEr14Mg
_chemical_formula_sum 'Ho1 Er14 Mg1'
_cell_length_a 6.977
_cell_length_b 6.977
_cell_length_c 9.891
_cell_angle_alpha 90.00
_cell_angle_beta 90.00
_cell_angle_gamma 90.00
_symmetry_space_group_name_H-M 'P 4/m m m'
_symmetry_Int_Tables_number 123
_symmetry_space_group_name_Hall '-P 4 2'
loop_
_atom_site_label
_atom_site_fract_x
_atom_site_fract_y
_atom_site_fract_z
Ho1 0.000 0.000 0.000
Er1 0.000 0.000 0.500
Er2 0.000 0.500 0.000
Er3 0.000 0.500 0.500
Er4 0.249 0.249 0.250
Er5 0.500 0.500 0.500
Mg1 0.500 0.500 0.000
```



# Ho4Er4Mg

An optimized crystal structure of Ho4Er4Mg (PBE, the Alexandria database).

Energy above the lowest structure with this stoichiometry = 0 meV per atom
Volume = 545.3 Å³/cell
Formation enthalpy at 0 K = 2 kJ per mole of atoms
Total moment = 0.00 μB/atom
Total energy = -4.215 eV per atom

```
data_Ho4Er4Mg
_chemical_formula_sum 'Ho8 Er8 Mg2'
_cell_length_a 6.136
_cell_length_b 8.612
_cell_length_c 10.625
_cell_angle_alpha 78.18
_cell_angle_beta 89.82
_cell_angle_gamma 83.04
_symmetry_space_group_name_H-M 'P -1'
_symmetry_Int_Tables_number 2
_symmetry_space_group_name_Hall '-P 1'
loop_
_atom_site_label
_atom_site_fract_x
_atom_site_fract_y
_atom_site_fract_z
Ho1 0.134 0.167 0.306
Ho2 0.141 0.166 0.642
Ho3 0.141 0.166 0.971
Ho4 0.359 0.834 0.529
Er1 0.250 0.500 0.083
Er2 0.251 0.500 0.417
Er3 0.360 0.834 0.859
Er4 0.365 0.833 0.194
Mg1 0.251 0.500 0.750
```



# Ho6Er4Mg

An optimized crystal structure of Ho6Er4Mg (PBE, the Alexandria database).

Volume = 698.8 Å³/cell
Formation enthalpy at 0 K = 27 kJ per mole of atoms
Total moment = 0.00 μB/atom
Total energy = -4.019 eV per atom

```
data_Ho6Er4Mg
_chemical_formula_sum 'Ho12 Er8 Mg2'
_cell_length_a 6.429
_cell_length_b 6.429
_cell_length_c 16.908
_cell_angle_alpha 90.00
_cell_angle_beta 90.00
_cell_angle_gamma 90.00
_symmetry_space_group_name_H-M 'I -4 2 m'
_symmetry_Int_Tables_number 121
_symmetry_space_group_name_Hall 'I -4 2'
loop_
_atom_site_label
_atom_site_fract_x
_atom_site_fract_y
_atom_site_fract_z
Ho1 0.000 0.500 0.000
Ho2 0.176 0.176 0.135
Er1 0.183 0.183 0.331
Mg1 0.000 0.000 0.500
```



> Look up the formation enthalpy at 0 K of the ninth one.

17 kJ per mole of atoms